No. 1
TlFeAuSe3 | PBE | optimized geometry

Lattice parameters (Å, degrees): 3.550 14.718 10.524 90.00 90.00 90.00
Space group Cmcm (No. 63)
Asymmetric unit:
Tl (0.000, 0.205, 0.250) (multiplicity 4)
Fe (0.000, 0.500, 0.000) (multiplicity 4)
Au (0.000, 0.131, 0.750) (multiplicity 4)
Se (0.000, 0.114, 0.513) (multiplicity 8)
Se (0.000, 0.472, 0.750) (multiplicity 4)

E, Ry per atom: -0.307
Calculated density, kg/m3: 8385

No. 2
PdPbW2 | PBE | optimized geometry

Lattice parameters (Å, degrees): 6.578 6.578 6.578 90.00 90.00 90.00
Space group F-43m (No. 216)
Asymmetric unit:
Pd (0.000, 0.000, 0.000) (multiplicity 4)
Pb (0.250, 0.250, 0.750) (multiplicity 4)
W (0.000, 0.000, 0.500) (multiplicity 4)
W (0.250, 0.250, 0.250) (multiplicity 4)

E, Ry per atom: -0.585
Calculated density, kg/m3: 15900

No. 3
BaIr2F12 | PBE | optimized geometry

Lattice parameters (Å, degrees): 4.889 5.195 8.539 76.03 78.88 62.52
Space group P1 (No. 1)
Asymmetric unit:
Ba (0.000, 0.000, 0.000) (multiplicity 1)
Ir (0.318, 0.302, 0.254) (multiplicity 1)
Ir (0.485, 0.497, 0.669) (multiplicity 1)
F (0.055, 0.728, 0.658) (multiplicity 1)
F (0.125, 0.140, 0.431) (multiplicity 1)
F (0.187, 0.645, 0.344) (multiplicity 1)
F (0.370, 0.286, 0.870) (multiplicity 1)
F (0.453, 0.965, 0.147) (multiplicity 1)
F (0.482, 0.775, 0.783) (multiplicity 1)
F (0.495, 0.490, 0.065) (multiplicity 1)
F (0.499, 0.203, 0.575) (multiplicity 1)
F (0.624, 0.673, 0.473) (multiplicity 1)
F (0.730, 0.116, 0.310) (multiplicity 1)
F (0.914, 0.267, 0.708) (multiplicity 1)
F (0.950, 0.493, 0.139) (multiplicity 1)

E, Ry per atom: -0.342
Calculated density, kg/m3: 6698

No. 4
Tb5Si3 | PBE | optimized geometry

Lattice parameters (Å, degrees): 8.4924 8.4924 6.4130 90.00 90.00 120.00
Space group P6_3/mcm (No. 193)
Asymmetric unit:
Tb (0.0000, 0.2436, 0.2500) (multiplicity 6)
Tb (0.3333, 0.6667, 0.0000) (multiplicity 4)
Si (0.0000, 0.3944, 0.7500) (multiplicity 6)

Excess energy over the best structure of this formula in the dataset, meV/atom: 0
Calculated density, kg/m3: 7287